Entry 1:
# TiSe2NO, relaxed, DFT PBE
# - Energy above the most stable polymorph in this dataset: 0.97 eV/f.u.
data_TiSe2NO
_chemical_formula_sum 'Ti1 Se2 N1 O1'
_cell_length_a 4.268
_cell_length_b 4.268
_cell_length_c 3.879
_cell_angle_alpha 90.00
_cell_angle_beta 90.00
_cell_angle_gamma 90.00
_symmetry_space_group_name_H-M 'P 4/m m m'
_symmetry_Int_Tables_number 123
_symmetry_space_group_name_Hall '-P 4 2'
loop_
_atom_site_label
_atom_site_fract_x
_atom_site_fract_y
_atom_site_fract_z
Ti1 0.000 0.000 0.000
Se1 0.000 0.500 0.500
N1 0.500 0.500 0.000
O1 0.500 0.500 0.500


Entry 2:
Computed, not measured: an optimized crystal structure of TiSeN2O at the PBE level of DFT.

CIF file:
```
data_TiSeN2O
_chemical_formula_sum 'Ti1 Se1 N2 O1'
_cell_length_a 3.837
_cell_length_b 3.837
_cell_length_c 3.737
_cell_angle_alpha 90.00
_cell_angle_beta 90.00
_cell_angle_gamma 90.00
_symmetry_space_group_name_H-M 'P 4/m m m'
_symmetry_Int_Tables_number 123
_symmetry_space_group_name_Hall '-P 4 2'
loop_
_atom_site_label
_atom_site_fract_x
_atom_site_fract_y
_atom_site_fract_z
Ti1 0.000 0.000 0.000
Se1 0.500 0.500 0.500
N1 0.000 0.500 0.500
O1 0.500 0.500 0.000
```


Entry 3:
# TiSe2NO, relaxed, DFT PBE
# - Energy above the most stable polymorph in this dataset: 0.00 eV/f.u.
data_TiSe2NO
_chemical_formula_sum 'Ti1 Se2 N1 O1'
_cell_length_a 4.902
_cell_length_b 4.902
_cell_length_c 3.781
_cell_angle_alpha 90.00
_cell_angle_beta 90.00
_cell_angle_gamma 90.00
_symmetry_space_group_name_H-M 'P 4/m m m'
_symmetry_Int_Tables_number 123
_symmetry_space_group_name_Hall '-P 4 2'
loop_
_atom_site_label
_atom_site_fract_x
_atom_site_fract_y
_atom_site_fract_z
Ti1 0.000 0.000 0.000
Se1 0.000 0.500 0.000
N1 0.000 0.000 0.500
O1 0.500 0.500 0.500


Entry 4:
Computed, not measured: an optimized crystal structure of TiSeNO2 at the PBE level of DFT.

CIF file:
```
data_TiSeNO2
_chemical_formula_sum 'Ti1 Se1 N1 O2'
_cell_length_a 3.771
_cell_length_b 3.771
_cell_length_c 4.275
_cell_angle_alpha 90.00
_cell_angle_beta 90.00
_cell_angle_gamma 90.00
_symmetry_space_group_name_H-M 'P 4/m m m'
_symmetry_Int_Tables_number 123
_symmetry_space_group_name_Hall '-P 4 2'
loop_
_atom_site_label
_atom_site_fract_x
_atom_site_fract_y
_atom_site_fract_z
Ti1 0.000 0.000 0.000
Se1 0.500 0.500 0.500
N1 0.000 0.000 0.500
O1 0.000 0.500 0.000
```


Entry 5:
Computed, not measured: an optimized crystal structure of TiSeNO2 at the PBE level of DFT.

CIF file:
```
data_TiSeNO2
_chemical_formula_sum 'Ti1 Se1 N1 O2'
_cell_length_a 3.816
_cell_length_b 3.816
_cell_length_c 4.017
_cell_angle_alpha 90.00
_cell_angle_beta 90.00
_cell_angle_gamma 90.00
_symmetry_space_group_name_H-M 'P 4/m m m'
_symmetry_Int_Tables_number 123
_symmetry_space_group_name_Hall '-P 4 2'
loop_
_atom_site_label
_atom_site_fract_x
_atom_site_fract_y
_atom_site_fract_z
Ti1 0.000 0.000 0.000
Se1 0.500 0.500 0.500
N1 0.500 0.500 0.000
O1 0.000 0.500 0.500
```


Entry 6:
Computed, not measured: an optimized crystal structure of TiSeN2O at the PBE level of DFT.

CIF file:
```
data_TiSeN2O
_chemical_formula_sum 'Ti1 Se1 N2 O1'
_cell_length_a 4.105
_cell_length_b 4.105
_cell_length_c 3.675
_cell_angle_alpha 90.00
_cell_angle_beta 90.00
_cell_angle_gamma 90.00
_symmetry_space_group_name_H-M 'P 4/m m m'
_symmetry_Int_Tables_number 123
_symmetry_space_group_name_Hall '-P 4 2'
loop_
_atom_site_label
_atom_site_fract_x
_atom_site_fract_y
_atom_site_fract_z
Ti1 0.000 0.000 0.000
Se1 0.500 0.500 0.500
N1 0.000 0.500 0.000
O1 0.000 0.000 0.500
```


Entry 7:
Computed, not measured: an optimized crystal structure of TlSeN2O at the PBE level of DFT.

CIF file:
```
data_TlSeN2O
_chemical_formula_sum 'Tl1 Se1 N2 O1'
_cell_length_a 4.343
_cell_length_b 4.343
_cell_length_c 4.078
_cell_angle_alpha 90.00
_cell_angle_beta 90.00
_cell_angle_gamma 90.00
_symmetry_space_group_name_H-M 'P 4/m m m'
_symmetry_Int_Tables_number 123
_symmetry_space_group_name_Hall '-P 4 2'
loop_
_atom_site_label
_atom_site_fract_x
_atom_site_fract_y
_atom_site_fract_z
Tl1 0.000 0.000 0.000
Se1 0.500 0.500 0.500
N1 0.000 0.500 0.000
O1 0.000 0.000 0.500
```


Entry 8:
# TlSe2NO, relaxed, DFT PBE
# - Energy above the most stable polymorph in this dataset: 0.00 eV/f.u.
data_TlSe2NO
_chemical_formula_sum 'Tl1 Se2 N1 O1'
_cell_length_a 4.447
_cell_length_b 4.447
_cell_length_c 4.314
_cell_angle_alpha 90.00
_cell_angle_beta 90.00
_cell_angle_gamma 90.00
_symmetry_space_group_name_H-M 'P 4/m m m'
_symmetry_Int_Tables_number 123
_symmetry_space_group_name_Hall '-P 4 2'
loop_
_atom_site_label
_atom_site_fract_x
_atom_site_fract_y
_atom_site_fract_z
Tl1 0.000 0.000 0.000
Se1 0.000 0.500 0.500
N1 0.500 0.500 0.000
O1 0.500 0.500 0.500


M_tot in μB/cell, matching the order above: 0.0 0.8 0.0 0.0 0.0 0.0 0.0 0.0
Formation energy (no corrections) in eV per atom, matching the order above: 0.7618 0.6332 0.5671 -0.5893 0.1372 0.2231 2.0491 1.2029